The following is a DFT calculation (PBE) of a relaxed structure of Mn2FeRu.

For the density, the calculation gives 9.0 g/cm³. The value obtained for the total magnetic moment is 6.1 μB/f.u. For the excess energy over the best structure of this formula in the dataset, the calculation gives 190.4 meV per atom. The value obtained for the total energy is -35.26 eV/f.u. The formation enthalpy at 0 K comes out at 0.205 eV per atom. Its density of states at the Fermi level is 1.424 states/eV/atom.

It has space group Pm (No. 6), with a = 2.564 Å, b = 4.063 Å, c = 4.823 Å, α = 90.00°, β = 101.34° and γ = 90.00°. Symmetry generates all atoms from Mn at (0.000, 0.000, 0.000), Mn at (0.224, 0.500, 0.745), Fe at (0.467, 0.000, 0.513) and Ru at (0.711, 0.500, 0.245).